RbBi2AuSe4 after structural relaxation, computed with PBE.

Properties
N(E_F) = 0.97 states/eV/f.u.
DFT total energy = -0.2729 Ry/atom

a b c (Å): 4.4215 14.0888 15.8977
angles (deg): 90.00 90.00 90.00
With the nearest neighbours (Å) after each atom.
Space group Cmcm (No. 63)
Symmetry-distinct sites (fractional):
Rb: 0.0000 0.1250 0.2500 x4  6 Se 3.48-3.59, 1 Au 3.73
Bi: 0.0000 0.3658 0.0564 x8  5 Se 2.86-3.04
Au: 0.0000 0.1401 0.7500 x4  2 Se 2.45
Se: 0.0000 0.0000 0.0000 x4  4 Bi 3.04
Se: 0.0000 0.2662 0.6004 x8  3 Bi 2.86-2.97, 1 Au 2.97
Se: 0.0000 0.4344 0.2500 x4  2 Au 2.45